# HfVTc4, optimized geometry, DFT GGA-PBE
# Calculated total energy = -10.15 eV per atom
# E_form = -0.06 eV per atom
# Fermi-level density of states = 35.394 states/eV per cell
data_HfVTc4
_space_group_name_H-M_alt 'F -4 3 m'
_space_group_IT_number 216
_space_group_name_Hall 'F -4 2 3'
_cell_length_a 7.296
_cell_length_b 7.296
_cell_length_c 7.296
_cell_angle_alpha 90.00
_cell_angle_beta 90.00
_cell_angle_gamma 90.00
loop_
_atom_site_label
_atom_site_type_symbol
_atom_site_fract_x
_atom_site_fract_y
_atom_site_fract_z
Hf1 Hf 0.000 0.000 0.000
V1 V 0.250 0.250 0.250
Tc1 Tc 0.125 0.125 0.625

# HfVTc, optimized geometry, DFT GGA-PBE
# Calculated total energy = -9.58 eV per atom
# E_form = 0.24 eV per atom
# Fermi-level density of states = 3.909 states/eV per cell
data_HfVTc
_space_group_name_H-M_alt 'P m m m'
_space_group_IT_number 47
_space_group_name_Hall '-P 2 2'
_cell_length_a 3.143
_cell_length_b 3.863
_cell_length_c 4.649
_cell_angle_alpha 90.00
_cell_angle_beta 90.00
_cell_angle_gamma 90.00
loop_
_atom_site_label
_atom_site_type_symbol
_atom_site_fract_x
_atom_site_fract_y
_atom_site_fract_z
Hf1 Hf 0.000 0.000 0.000
V1 V 0.000 0.500 0.500
Tc1 Tc 0.500 0.000 0.500

# HfVTcW, optimized geometry, DFT GGA-PBE
# Calculated total energy = -10.74 eV per atom
# E_form = -0.14 eV per atom
# Fermi-level density of states = 16.335 states/eV per cell
data_HfVTcW
_space_group_name_H-M_alt 'F -4 3 m'
_space_group_IT_number 216
_space_group_name_Hall 'F -4 2 3'
_cell_length_a 6.356
_cell_length_b 6.356
_cell_length_c 6.356
_cell_angle_alpha 90.00
_cell_angle_beta 90.00
_cell_angle_gamma 90.00
loop_
_atom_site_label
_atom_site_type_symbol
_atom_site_fract_x
_atom_site_fract_y
_atom_site_fract_z
Hf1 Hf 0.000 0.000 0.000
V1 V 0.250 0.250 0.250
Tc1 Tc 0.250 0.250 0.750
W1 W 0.000 0.000 0.500

# HfVZnTc, optimized geometry, DFT GGA-PBE
# Calculated total energy = -7.80 eV per atom
# E_form = -0.12 eV per atom
# Fermi-level density of states = 6.926 states/eV per cell
data_HfVZnTc
_space_group_name_H-M_alt 'F -4 3 m'
_space_group_IT_number 216
_space_group_name_Hall 'F -4 2 3'
_cell_length_a 6.330
_cell_length_b 6.330
_cell_length_c 6.330
_cell_angle_alpha 90.00
_cell_angle_beta 90.00
_cell_angle_gamma 90.00
loop_
_atom_site_label
_atom_site_type_symbol
_atom_site_fract_x
_atom_site_fract_y
_atom_site_fract_z
Hf1 Hf 0.000 0.000 0.000
V1 V 0.000 0.000 0.500
Zn1 Zn 0.250 0.250 0.250
Tc1 Tc 0.250 0.250 0.750

# HfTcW, optimized geometry, DFT GGA-PBE
# Calculated total energy = -11.16 eV per atom
# E_form = -0.07 eV per atom
# Fermi-level density of states = 1.988 states/eV per cell
data_HfTcW
_space_group_name_H-M_alt 'P 3 m 1'
_space_group_IT_number 156
_space_group_name_Hall 'P 3 -2"'
_cell_length_a 4.4880
_cell_length_b 4.4880
_cell_length_c 2.9249
_cell_angle_alpha 90.00
_cell_angle_beta 90.00
_cell_angle_gamma 120.00
loop_
_atom_site_label
_atom_site_type_symbol
_atom_site_fract_x
_atom_site_fract_y
_atom_site_fract_z
Hf1 Hf 0.0000 0.0000 0.0000
Tc1 Tc 0.3333 0.6667 0.3293
W1 W 0.6667 0.3333 0.6231

# Hf2TcW, optimized geometry, DFT GGA-PBE
# Calculated total energy = -10.96 eV per atom
# E_form = -0.15 eV per atom
# Fermi-level density of states = 5.205 states/eV per cell
data_Hf2TcW
_space_group_name_H-M_alt 'P 4/m m m'
_space_group_IT_number 123
_space_group_name_Hall '-P 4 2'
_cell_length_a 3.281
_cell_length_b 3.281
_cell_length_c 6.658
_cell_angle_alpha 90.00
_cell_angle_beta 90.00
_cell_angle_gamma 90.00
loop_
_atom_site_label
_atom_site_type_symbol
_atom_site_fract_x
_atom_site_fract_y
_atom_site_fract_z
Hf1 Hf 0.000 0.000 0.242
Tc1 Tc 0.500 0.500 0.000
W1 W 0.500 0.500 0.500

> What is the calculated total energy in the third record?

-10.74 eV per atom